## HfInIr3 (PBE)

Data for an optimized crystal structure of HfInIr3. Values from VASP.

Calculated values
mass density: 13.4 g/cm³
DFT total energy: -0.475 Ry per atom
energy above the most stable polymorph in this dataset: 0.202 eV per atom
ΔE_f: 1397.7 meV per atom

Geometry as Quantum ESPRESSO input:
```
&SYSTEM
  ibrav = 0, nat = 5, ntyp = 3
/
ATOMIC_SPECIES
Ir 192.22 Ir.upf
Hf 178.49 Hf.upf
In 114.82 In.upf
CELL_PARAMETERS angstrom
-3.323 -0.593 3.358
0.296 -4.722 -0.541
3.397 -0.169 3.332
ATOMIC_POSITIONS crystal
Ir 0.000 0.500 0.000
Ir 0.000 0.000 0.500
Ir 0.500 0.000 0.000
Hf 0.500 0.500 0.500
In 0.000 0.000 0.000
```